[1]
LaHo8Tm5 | the Alexandria database | GGA-PBE | relaxed; calculated volume = 32.040 A^3/atom; Fermi-level density of states = 19.97 states/eV/f.u.; energy = -60.40 eV/cell; size of the total moment = 0.00 Bohr magnetons per cell
1.0
7.913 0.582 -2.621
-3.978 6.865 -2.621
-0.308 -0.582 8.330
La Ho Tm
1 8 5
Cartesian
-1.159 5.003 1.544 La
-2.993 5.280 -1.251 Ho
0.413 2.207 0.564 Ho
1.255 5.748 -0.231 Ho
-1.194 3.732 4.358 Ho
4.841 3.171 -1.297 Ho
-3.490 6.362 3.536 Ho
1.434 6.163 3.327 Ho
2.351 1.079 3.346 Ho
5.574 1.990 3.762 Tm
3.356 3.730 1.681 Tm
3.393 0.588 0.132 Tm
1.967 3.724 -2.621 Tm
6.822 1.139 0.601 Tm

***

[2]
Ac2EuGe | the Alexandria database | GGA-PBE | relaxed; offset from the most stable computed form = 0.1868 eV/atom; calculated volume = 34.259 A^3/atom; Fermi-level density of states = 4.77 states/eV/f.u.; energy = -23.42 eV/cell; size of the total moment = 7.86 Bohr magnetons per cell
1.0
-2.323 -4.922 -1.965
3.296 -4.719 -0.597
-0.708 -4.495 3.575
Eu Ac Ge
1 2 1
Cartesian
0.000 0.000 0.000 Eu
0.066 -3.534 0.253 Ac
0.199 -10.602 0.760 Ac
0.132 -7.068 0.507 Ge

***

[3]
LaSiPd2F | the Alexandria database | GGA-PBE | relaxed; calculated volume = 24.745 A^3/atom; Fermi-level density of states = 2.00 states/eV/f.u.; ΔE_f (raw) = -0.402 eV/atom; energy = -24.62 eV/cell; size of the total moment = 0.00 Bohr magnetons per cell
1.0
-0.763 2.434 4.670
-4.093 0.978 -1.178
-1.701 -4.580 2.109
Si F Pd La
1 1 2 1
Cartesian
-3.278 -0.584 2.800 Si
-2.046 0.489 -0.589 F
-0.851 -2.290 1.054 Pd
-0.381 1.217 2.335 Pd
0.000 0.000 0.000 La

***

[4]
Ba3ScPa2As6 | the Alexandria database | GGA-PBE | relaxed; calculated volume = 29.387 A^3/atom; Fermi-level density of states = 5.92 states/eV/f.u.; energy = -72.73 eV/cell; size of the total moment = 0.00 Bohr magnetons per cell
1.0
7.392 -0.001 0.001
-3.694 6.402 0.001
-1.232 -2.133 7.452
Ba Sc Pa As
3 1 2 6
Cartesian
-2.474 4.275 3.727 Ba
4.939 -0.007 3.727 Ba
1.233 2.134 3.727 Ba
0.000 0.000 0.000 Sc
-0.001 4.269 0.001 Pa
3.698 2.133 0.001 Pa
3.696 2.134 5.963 As
2.465 4.267 1.489 As
-1.231 2.134 1.491 As
0.002 4.268 5.963 As
0.000 0.001 5.964 As
2.464 0.000 1.491 As